# 1
ScBeSi PBEsol relaxed; total energy = -18.3 eV/f.u.; V = 44.22 Å³/f.u.; total magnetization = 0.0 μB per cell; uncorrected formation energy = -0.636 eV per atom
1.0
-2.5299 2.6227 -0.2589
-1.4433 -1.0685 3.2791
2.6948 2.5894 -0.1014
Si Sc Be
1 1 1
direct
0.5000 0.6667 0.3333
0.0000 0.3333 0.6667
0.5000 0.0000 0.0000


# 2
ScBeSi2 PBEsol relaxed; total energy = -23.3 eV/f.u.; V = 56.11 Å³/f.u.; total magnetization = 0.0 μB per cell; uncorrected formation energy = -0.313 eV per atom
1.0
-0.2559 -1.1741 3.4276
0.3860 -3.4405 -1.1497
4.1349 2.6361 -0.7127
Sc Si Be
1 2 1
direct
0.2390 0.7390 0.4780
0.9956 0.9956 0.9913
0.7786 0.2786 0.5571
0.4868 0.4868 0.9736


# 3
Sc3BeSn PBEsol relaxed; energy of formation from the pure elements = -0.154 eV/atom; total energy = -28.8 eV/f.u.; V = 106.23 Å³/f.u.; total magnetization = 0.0 μB per cell
1.0
-0.5875 -3.5961 -3.0255
4.4997 -1.3101 0.6834
-1.3558 -2.7897 3.5791
Sc Be Sn
3 1 1
direct
0.0000 0.0000 0.5000
0.5000 0.0000 0.0000
0.0000 0.5000 0.0000
0.0000 0.0000 0.0000
0.5000 0.5000 0.5000


# 4
ScBe2Sn2 PBEsol relaxed; energy of formation from the pure elements = 0.082 eV/atom; total energy = -22.7 eV/f.u.; V = 90.34 Å³/f.u.; total magnetization = 0.0 μB per cell
1.0
3.9516 0.0000 0.0000
0.0000 3.9516 0.0000
-1.9758 -1.9758 5.7853
Sn Sc Be
2 1 2
direct
0.6218 0.6218 0.2435
0.3782 0.3782 0.7565
0.0000 0.0000 0.0000
0.7500 0.2500 0.5000
0.2500 0.7500 0.5000